8
Lattice="-0.2425 -4.4420 1.8552 4.2344 0.6868 2.1978 -0.8263 0.2675 6.7938" Properties=species:S:1:pos:R:3 comment="PBE-GGA BOsPt2, optimized geometry" rho_g_cm3=14.2 total_magnetization_mub_per_cell=0.00 spacegroup="I-42d, No. 122" dft_energy_ev_per_cell=-53.98 n_ef_per_ev_atom=1.216 formation_enthalpy_0k_ev_per_atom=0.75 pbc="T T T"
Pt 2.5686 -3.1346 8.4836
Pt 0.1886 -2.3039 2.9992
Pt 1.1819 -1.1581 6.7733
Pt 2.3922 -0.3787 3.4374
Os 0.0000 0.0000 0.0000
Os 0.4636 -3.0260 5.3378
B 2.7020 -0.4617 5.5090
B 1.9960 -1.8776 2.0265